Entry 1:
Below is a PBEsol-optimized structure of Ba2GaIr, with properties calculated at the SCAN level.

a = 4.809 Å, b = 8.472 Å, c = 8.472 Å
α = 85.38°, β = 73.51°, γ = 73.51°
Sites, in units of the cell vectors:
Ir 0.750 0.500 0.500
Ir 0.000 0.000 0.000
Ba 0.945 0.180 0.680
Ba 0.805 0.820 0.320
Ba 0.375 0.680 0.820
Ba 0.875 0.320 0.180
Ga 0.250 0.500 0.500
Ga 0.500 0.000 0.000

The calculation puts the total energy at -1.54282 Ha/atom. The mass density comes out at 5.61 g/cm3. For the spin magnetization, the calculation gives 0.67 μB/cell. The calculation puts the calculated volume at 317.4 Å³/cell.

=====

Entry 2:
Below is a PBEsol-optimized structure of BaGa3Ir, with properties calculated at the SCAN level.

a = 4.818 Å, b = 4.818 Å, c = 4.818 Å
α = 90.00°, β = 90.00°, γ = 90.00°
Sites, in units of the cell vectors:
Ir 0.000 0.000 0.000
Ba 0.500 0.500 0.500
Ga 0.000 0.500 0.000
Ga 0.000 0.000 0.500
Ga 0.500 0.000 0.000

The calculation puts the total energy at -1.19549 Ha/atom. The mass density comes out at 8.00 g/cm3. For the spin magnetization, the calculation gives 0.00 μB/cell. The calculation puts the calculated volume at 111.9 Å³/cell.

=====

Entry 3:
Below is a PBEsol-optimized structure of BaGa2Ir2, with properties calculated at the SCAN level.

a = 4.367 Å, b = 4.367 Å, c = 6.075 Å
α = 111.06°, β = 111.06°, γ = 90.00°
Sites, in units of the cell vectors:
Ir 0.379 0.379 0.759
Ir 0.621 0.621 0.241
Ba 0.000 0.000 0.000
Ga 0.250 0.750 0.500
Ga 0.750 0.250 0.500

The calculation puts the total energy at -1.59451 Ha/atom. The mass density comes out at 11.00 g/cm3. For the spin magnetization, the calculation gives 0.00 μB/cell. The calculation puts the calculated volume at 99.8 Å³/cell.

=====

Entry 4:
Below is a PBEsol-optimized structure of BaGa3Ir, with properties calculated at the SCAN level.

a = 6.252 Å, b = 6.797 Å, c = 6.797 Å
α = 64.50°, β = 62.62°, γ = 62.62°
Sites, in units of the cell vectors:
Ir 0.000 0.500 0.500
Ir 0.500 0.000 0.000
Ba 0.750 0.158 0.342
Ba 0.250 0.842 0.658
Ga 0.699 0.301 0.801
Ga 0.199 0.301 0.801
Ga 0.801 0.699 0.199
Ga 0.301 0.699 0.199
Ga 0.750 0.673 0.827
Ga 0.250 0.327 0.173

The calculation puts the total energy at -1.19751 Ha/atom. The mass density comes out at 8.18 g/cm3. For the spin magnetization, the calculation gives 0.00 μB/cell. The calculation puts the calculated volume at 218.8 Å³/cell.

=====

Entry 5:
Below is a PBEsol-optimized structure of BaLaGaIr2, with properties calculated at the SCAN level.

a = 5.040 Å, b = 5.040 Å, c = 5.644 Å
α = 90.00°, β = 90.00°, γ = 90.00°
Sites, in units of the cell vectors:
Ir 0.000 0.500 0.000
Ir 0.500 0.000 0.000
Ba 0.000 0.000 0.000
Ga 0.500 0.500 0.500
La 0.000 0.000 0.500

The calculation puts the total energy at -1.70637 Ha/atom. The mass density comes out at 8.46 g/cm3. For the spin magnetization, the calculation gives 0.00 μB/cell. The calculation puts the calculated volume at 143.3 Å³/cell.

=====

Entry 6:
Below is a PBEsol-optimized structure of KBa2LiGa, with properties calculated at the SCAN level.

a = 5.402 Å, b = 6.529 Å, c = 6.529 Å
α = 90.00°, β = 90.00°, γ = 90.00°
Sites, in units of the cell vectors:
K 0.500 0.500 0.500
Ba 0.000 0.000 0.500
Ba 0.000 0.500 0.000
Ga 0.000 0.000 0.000
Li 0.500 0.000 0.000

The calculation puts the total energy at -0.78054 Ha/atom. The mass density comes out at 2.81 g/cm3. For the spin magnetization, the calculation gives 0.00 μB/cell. The calculation puts the calculated volume at 230.3 Å³/cell.

=====

Entry 7:
Below is a PBEsol-optimized structure of KBaMn2Ga, with properties calculated at the SCAN level.

a = 5.011 Å, b = 5.011 Å, c = 6.137 Å
α = 90.00°, β = 90.00°, γ = 90.00°
Sites, in units of the cell vectors:
K 0.500 0.500 0.500
Mn 0.000 0.500 0.000
Mn 0.500 0.000 0.000
Ba 0.000 0.000 0.500
Ga 0.000 0.000 0.000

The calculation puts the total energy at -0.72778 Ha/atom. The mass density comes out at 3.84 g/cm3. For the spin magnetization, the calculation gives 8.12 μB/cell. The calculation puts the calculated volume at 154.1 Å³/cell.

=====

Entry 8:
Below is a PBEsol-optimized structure of KBaTlGa2, with properties calculated at the SCAN level.

a = 5.534 Å, b = 5.534 Å, c = 6.102 Å
α = 90.00°, β = 90.00°, γ = 90.00°
Sites, in units of the cell vectors:
K 0.000 0.000 0.000
Tl 0.500 0.500 0.500
Ba 0.000 0.000 0.500
Ga 0.000 0.500 0.000
Ga 0.500 0.000 0.000

The calculation puts the total energy at -1.09704 Ha/atom. The mass density comes out at 4.62 g/cm3. For the spin magnetization, the calculation gives 0.00 μB/cell. The calculation puts the calculated volume at 186.8 Å³/cell.

=====

Entry 9:
Below is a PBEsol-optimized structure of Ba6La2Ga4O15, with properties calculated at the SCAN level.

a = 7.072 Å, b = 11.773 Å, c = 11.773 Å
α = 119.41°, β = 90.27°, γ = 90.27°
Sites, in units of the cell vectors:
Ba 0.514 0.999 0.003
Ba 0.014 0.003 0.999
Ba 0.994 0.335 0.668
Ba 0.494 0.668 0.335
Ba 0.343 0.044 0.518
Ba 0.843 0.518 0.044
Ba 0.687 0.654 0.830
Ba 0.677 0.179 0.350
Ba 0.674 0.170 0.821
Ba 0.177 0.350 0.179
Ba 0.187 0.830 0.654
Ba 0.174 0.821 0.170
La 0.346 0.477 0.959
La 0.349 0.482 0.523
La 0.846 0.959 0.477
La 0.849 0.523 0.482
Ga 0.186 0.644 0.820
Ga 0.171 0.183 0.357
Ga 0.179 0.174 0.818
Ga 0.671 0.357 0.183
Ga 0.686 0.820 0.644
Ga 0.679 0.818 0.174
Ga 0.536 0.335 0.664
Ga 0.036 0.664 0.335
O 0.362 0.505 0.747
O 0.350 0.262 0.498
O 0.346 0.259 0.755
O 0.850 0.498 0.262
O 0.862 0.747 0.505
O 0.846 0.755 0.259
O 0.537 0.402 0.335
O 0.565 0.928 0.597
O 0.520 0.677 0.071
O 0.545 0.671 0.605
O 0.523 0.388 0.071
O 0.560 0.942 0.319
O 0.045 0.605 0.671
O 0.023 0.071 0.388
O 0.060 0.319 0.942
O 0.037 0.335 0.402
O 0.065 0.597 0.928
O 0.020 0.071 0.677
O 0.777 0.196 0.109
O 0.779 0.900 0.809
O 0.799 0.876 0.074
O 0.279 0.809 0.900
O 0.277 0.109 0.196
O 0.299 0.074 0.876
O 0.685 0.175 0.585
O 0.670 0.413 0.826
O 0.679 0.418 0.582
O 0.170 0.826 0.413
O 0.185 0.585 0.175
O 0.179 0.582 0.418

The calculation puts the total energy at -0.76014 Ha/atom. The mass density comes out at 6.30 g/cm3. For the spin magnetization, the calculation gives 0.00 μB/cell. The formation energy from raw total energies is -2819.1 meV/atom. The calculation puts the calculated volume at 853.9 Å³/cell.

=====

Entry 10:
Below is a PBEsol-optimized structure of BaLiGa, with properties calculated at the SCAN level.

a = 4.805 Å, b = 4.805 Å, c = 7.986 Å
α = 107.51°, β = 107.51°, γ = 90.00°
Sites, in units of the cell vectors:
Ba 0.676 0.676 0.352
Ba 0.324 0.324 0.648
Ga 0.088 0.088 0.176
Ga 0.912 0.912 0.824
Li 0.500 0.000 0.000
Li 0.000 0.500 0.000

The calculation puts the total energy at -0.72639 Ha/atom. The mass density comes out at 4.26 g/cm3. For the spin magnetization, the calculation gives 0.00 μB/cell. The calculation puts the calculated volume at 166.8 Å³/cell.

=====

Entry 11:
Below is a PBEsol-optimized structure of BaLi3Ga, with properties calculated at the SCAN level.

a = 5.051 Å, b = 5.051 Å, c = 5.051 Å
α = 90.00°, β = 90.00°, γ = 90.00°
Sites, in units of the cell vectors:
Ba 0.500 0.500 0.500
Ga 0.000 0.000 0.000
Li 0.000 0.500 0.000
Li 0.000 0.000 0.500
Li 0.500 0.000 0.000

The calculation puts the total energy at -0.46869 Ha/atom. The mass density comes out at 2.94 g/cm3. For the spin magnetization, the calculation gives 0.00 μB/cell. The calculation puts the calculated volume at 128.9 Å³/cell.

=====

Entry 12:
Below is a PBEsol-optimized structure of BaLi2Ga2, with properties calculated at the SCAN level.

a = 4.938 Å, b = 4.938 Å, c = 5.896 Å
α = 114.76°, β = 114.76°, γ = 90.00°
Sites, in units of the cell vectors:
Ba 0.000 0.000 0.000
Ga 0.372 0.372 0.744
Ga 0.628 0.628 0.256
Li 0.250 0.750 0.500
Li 0.750 0.250 0.500

The calculation puts the total energy at -0.57843 Ha/atom. The mass density comes out at 4.17 g/cm3. For the spin magnetization, the calculation gives 0.00 μB/cell. The calculation puts the calculated volume at 115.9 Å³/cell.

=====

Entry 13:
Below is a PBEsol-optimized structure of Ba3LiGa, with properties calculated at the SCAN level.

a = 6.041 Å, b = 6.041 Å, c = 6.041 Å
α = 90.00°, β = 90.00°, γ = 90.00°
Sites, in units of the cell vectors:
Ba 0.000 0.500 0.000
Ba 0.000 0.000 0.500
Ba 0.500 0.000 0.000
Ga 0.500 0.500 0.500
Li 0.000 0.000 0.000

The calculation puts the total energy at -0.99632 Ha/atom. The mass density comes out at 3.68 g/cm3. For the spin magnetization, the calculation gives 1.47 μB/cell. The calculation puts the calculated volume at 220.5 Å³/cell.

=====

Entry 14:
Below is a PBEsol-optimized structure of Ba2Li2Ga, with properties calculated at the SCAN level.

a = 4.025 Å, b = 4.025 Å, c = 10.737 Å
α = 100.80°, β = 100.80°, γ = 90.00°
Sites, in units of the cell vectors:
Ba 0.407 0.407 0.815
Ba 0.593 0.593 0.185
Ga 0.000 0.000 0.000
Li 0.250 0.750 0.500
Li 0.750 0.250 0.500

The calculation puts the total energy at -0.74102 Ha/atom. The mass density comes out at 3.55 g/cm3. For the spin magnetization, the calculation gives 0.24 μB/cell. The calculation puts the calculated volume at 167.7 Å³/cell.

=====

Entry 15:
Below is a PBEsol-optimized structure of Ba4LiGa5Se12, with properties calculated at the SCAN level.

a = 6.490 Å, b = 13.609 Å, c = 13.609 Å
α = 90.00°, β = 90.00°, γ = 90.00°
Sites, in units of the cell vectors:
Ba 0.951 0.520 0.193
Ba 0.549 0.020 0.307
Ba 0.951 0.480 0.807
Ba 0.549 0.980 0.693
Ba 0.049 0.807 0.520
Ba 0.451 0.693 0.020
Ba 0.049 0.193 0.480
Ba 0.451 0.307 0.980
Li 0.000 0.500 0.500
Li 0.500 0.000 0.000
Ga 0.551 0.745 0.357
Ga 0.949 0.245 0.143
Ga 0.551 0.255 0.643
Ga 0.949 0.755 0.857
Ga 0.449 0.643 0.745
Ga 0.051 0.857 0.245
Ga 0.449 0.357 0.255
Ga 0.051 0.143 0.755
Ga 0.500 0.500 0.500
Ga 0.000 0.000 0.000
Se 0.548 0.859 0.487
Se 0.952 0.359 0.013
Se 0.548 0.141 0.513
Se 0.952 0.641 0.987
Se 0.452 0.513 0.859
Se 0.048 0.987 0.359
Se 0.452 0.487 0.141
Se 0.048 0.013 0.641
Se 0.704 0.805 0.206
Se 0.796 0.305 0.294
Se 0.704 0.195 0.794
Se 0.796 0.695 0.706
Se 0.296 0.794 0.805
Se 0.204 0.706 0.305
Se 0.296 0.206 0.195
Se 0.204 0.294 0.695
Se 0.737 0.597 0.404
Se 0.763 0.097 0.096
Se 0.737 0.403 0.596
Se 0.763 0.903 0.904
Se 0.263 0.596 0.597
Se 0.237 0.904 0.097
Se 0.263 0.404 0.403
Se 0.237 0.096 0.903

The calculation puts the total energy at -0.85792 Ha/atom. The mass density comes out at 5.12 g/cm3. For the spin magnetization, the calculation gives 0.00 μB/cell. The formation energy from raw total energies is -1378.6 meV/atom. The calculation puts the calculated volume at 1202.0 Å³/cell.

=====

Entry 16:
Below is a PBEsol-optimized structure of BaMgGa3, with properties calculated at the SCAN level.

a = 4.514 Å, b = 4.514 Å, c = 6.511 Å
α = 110.28°, β = 110.28°, γ = 90.00°
Sites, in units of the cell vectors:
Mg 0.250 0.750 0.500
Ba 0.500 0.500 0.000
Ga 0.114 0.114 0.228
Ga 0.886 0.886 0.772
Ga 0.750 0.250 0.500

The calculation puts the total energy at -0.70439 Ha/atom. The mass density comes out at 5.33 g/cm3. For the spin magnetization, the calculation gives 0.00 μB/cell. The calculation puts the calculated volume at 115.6 Å³/cell.

=====

Entry 17:
Below is a PBEsol-optimized structure of BaMgGa3, with properties calculated at the SCAN level.

a = 5.804 Å, b = 5.804 Å, c = 5.804 Å
α = 90.00°, β = 90.00°, γ = 90.00°
Sites, in units of the cell vectors:
Mg 0.500 0.500 0.500
Ba 0.000 0.000 0.000
Ga 0.000 0.500 0.000
Ga 0.000 0.000 0.500
Ga 0.500 0.000 0.000

The calculation puts the total energy at -0.64818 Ha/atom. The mass density comes out at 3.15 g/cm3. For the spin magnetization, the calculation gives 0.00 μB/cell. The calculation puts the calculated volume at 195.5 Å³/cell.

=====

Entry 18:
Below is a PBEsol-optimized structure of BaMgGaSe2, with properties calculated at the SCAN level.

a = 4.990 Å, b = 4.990 Å, c = 5.916 Å
α = 90.00°, β = 90.00°, γ = 90.00°
Sites, in units of the cell vectors:
Mg 0.000 0.000 0.000
Ga 0.500 0.500 0.500
Ba 0.000 0.000 0.500
Se 0.000 0.500 0.000
Se 0.500 0.000 0.000

The calculation puts the total energy at -0.75364 Ha/atom. The mass density comes out at 4.39 g/cm3. For the spin magnetization, the calculation gives 0.00 μB/cell. The formation energy from raw total energies is -302.2 meV/atom. The calculation puts the calculated volume at 147.3 Å³/cell.

=====

Entry 19:
Below is a PBEsol-optimized structure of BaMnGa2, with properties calculated at the SCAN level.

a = 5.051 Å, b = 5.051 Å, c = 5.051 Å
α = 60.00°, β = 60.00°, γ = 60.00°
Sites, in units of the cell vectors:
Mn 0.000 0.000 0.000
Ba 0.500 0.500 0.500
Ga 0.250 0.250 0.250
Ga 0.750 0.750 0.750

The calculation puts the total energy at -0.83215 Ha/atom. The mass density comes out at 6.04 g/cm3. For the spin magnetization, the calculation gives 4.35 μB/cell. The calculation puts the calculated volume at 91.1 Å³/cell.

=====

Entry 20:
Below is a PBEsol-optimized structure of BaGa3N, with properties calculated at the SCAN level.

a = 6.070 Å, b = 6.070 Å, c = 6.070 Å
α = 90.00°, β = 90.00°, γ = 90.00°
Sites, in units of the cell vectors:
Ba 0.000 0.000 0.000
Ga 0.000 0.500 0.000
Ga 0.000 0.000 0.500
Ga 0.500 0.000 0.000
N 0.500 0.500 0.500

The calculation puts the total energy at -0.64861 Ha/atom. The mass density comes out at 2.68 g/cm3. For the spin magnetization, the calculation gives 1.24 μB/cell. The formation energy from raw total energies is 1926.7 meV/atom. The calculation puts the calculated volume at 223.7 Å³/cell.